Entry from the Alexandria database: an optimized crystal structure of Ac2YTlO6 (PBE-GGA).

It has space group P2_1/c (No. 14), with a = 6.016 Å, b = 6.238 Å, c = 10.547 Å, α = 90.00°, β = 124.18° and γ = 90.00°. Symmetry generates all atoms from Ac at (0.232, 0.053, 0.248), Y at (0.500, 0.000, 0.000), Tl at (0.000, 0.000, 0.500), O at (0.137, 0.196, 0.939), O at (0.235, 0.703, 0.932) and O at (0.376, 0.054, 0.754).

The value obtained for the magnetization is 0.000 μB/cell. The calculation puts the formation energy from raw total energies at -2.72 eV/atom. Its theoretical density is 8.55 Mg/m³. The value obtained for the final energy is -7.40 eV per atom. The crystal system is monoclinic.